The following is a DFT calculation (GGA-PBE) of a relaxed structure of KIn4Hg3.

a = 4.987 Å, b = 4.987 Å, c = 9.652 Å
α = 90.00°, β = 90.00°, γ = 90.00°
Atoms (fractional coordinates):
K1 0.000 0.000 0.000
In1 0.000 0.500 0.324
In2 0.000 0.500 0.676
In3 0.500 0.000 0.324
In4 0.500 0.000 0.676
Hg1 0.000 0.000 0.500
Hg2 0.500 0.500 0.149
Hg3 0.500 0.500 0.851

The formation energy is -0.094 eV per atom. As for the crystal system: tetragonal. Its space-group type is P4/mmm, No. 123. Its energy is -13.71 eV for the cell shown. The value obtained for the volume is 30.01 A^3/atom.

The following is a DFT calculation (GGA-PBE) of a relaxed structure of NaZn3Cu.

a = 4.689 Å, b = 4.689 Å, c = 4.689 Å
α = 90.00°, β = 90.00°, γ = 90.00°
Atoms (fractional coordinates):
Na1 0.000 0.000 0.000
Zn1 0.000 0.500 0.500
Zn2 0.500 0.000 0.500
Zn3 0.500 0.500 0.000
Cu1 0.500 0.500 0.500

The formation energy is 0.115 eV per atom. The energy above the lowest structure with this stoichiometry is 134.0 meV per atom. As for the crystal system: cubic. Its space-group type is Pm-3m, No. 221. Its energy is -8.66 eV for the cell shown. The value obtained for the volume is 20.62 A^3/atom.

The following is a DFT calculation (GGA-PBE) of a relaxed structure of Tl3Os2PbO9.

a = 5.848 Å, b = 5.848 Å, c = 7.698 Å
α = 90.00°, β = 90.00°, γ = 120.00°
Atoms (fractional coordinates):
Tl1 0.000 0.000 0.000
Tl2 0.333 0.667 0.676
Tl3 0.667 0.333 0.324
Os1 0.333 0.667 0.145
Os2 0.667 0.333 0.855
Pb1 0.000 0.000 0.500
O1 0.000 0.500 0.000
O2 0.181 0.363 0.280
O3 0.181 0.819 0.280
O4 0.363 0.181 0.720
O5 0.500 0.000 0.000
O6 0.500 0.500 0.000
O7 0.637 0.819 0.280
O8 0.819 0.181 0.720
O9 0.819 0.637 0.720

The uncorrected formation energy comes out at -0.866 eV per atom. As for the crystal system: trigonal. Its space-group type is P-3m1, No. 164. Its energy is -90.88 eV for the cell shown. The value obtained for the volume is 15.20 A^3/atom.

Question: Which value of energy does entry 2 give?
Answer: -8.66 eV for the cell shown

Question: Which formula does entry 2 have?
Answer: NaZn3Cu

Question: Which of these has the highest energy?
Answer: NaZn3Cu

Question: What is the energy in the third record?
Answer: -90.88 eV for the cell shown